Version w
{"formula": "B5C7", "functional": "PBE-GGA", "state": "optimized geometry", "dos_ef_per_ev_fu": 1.303, "cell": [[-4.606, -3.404, 1.543], [5.409, 1.857, 1.575], [-1.590, 3.016, 1.906]], "species": ["B", "B", "B", "B", "B", "C", "C", "C", "C", "C", "C", "C"], "fractional_positions": [[0.833, 0.667, 0.250], [0.182, 0.318, 0.250], [0.333, 0.667, 0.953], [0.833, 0.167, 0.547], [0.485, 0.015, 0.250], [0.170, 0.841, 0.523], [0.496, 0.492, 0.523], [0.988, 0.512, 0.750], [0.659, 0.330, 0.977], [0.333, 0.167, 0.750], [0.008, 0.004, 0.977], [0.679, 0.821, 0.750]]}

Version x
{"formula": "B5C7", "functional": "PBE-GGA", "state": "optimized geometry", "dos_ef_per_ev_fu": 1.460, "cell": [[2.625, 0.000, 0.000], [-1.313, 2.274, 0.000], [0.000, 0.000, 14.738]], "species": ["B", "B", "B", "B", "B", "C", "C", "C", "C", "C", "C", "C"], "fractional_positions": [[0.667, 0.333, 0.900], [0.667, 0.333, 0.647], [0.000, 0.000, 0.463], [0.333, 0.667, 0.532], [0.333, 0.667, 0.172], [0.000, 0.000, 0.914], [0.333, 0.667, 0.639], [0.667, 0.333, 0.319], [0.000, 0.000, 0.356], [0.667, 0.333, 0.217], [0.000, 0.000, 0.028], [0.333, 0.667, 0.062]]}

Of them, the most stable is version x and the least stable is version w.